First-principles (PBE-GGA) data for a relaxed structure of CsTeSe2, as listed in Alexandria via LeMat-Bulk.

Geometry as POSCAR:
```
CsTeSe2
1.0
-4.6562 -5.0364 -2.1278
5.4253 -3.5226 -3.5342
2.6974 -7.3297 11.4464
Se Cs Te
8 4 4
direct
0.0539 0.4280 0.8568
0.1480 0.4373 0.4038
0.5539 0.0720 0.3568
0.5539 0.5720 0.1432
0.6480 0.0627 0.9038
0.6480 0.5627 0.5962
0.0539 0.9280 0.6432
0.1480 0.9373 0.0962
0.0597 0.4375 0.1295
0.0597 0.9375 0.3705
0.5597 0.0625 0.6295
0.5597 0.5625 0.8705
0.9882 0.5959 0.6300
0.4882 0.9041 0.1300
0.9882 0.0959 0.8700
0.4882 0.4041 0.3700
```

Computed properties:
As for the volume: 45.85 A^3/atom. Its energy relative to the elements, uncorrected is -515.9 meV per atom. The density of states at the Fermi level is 2.77 states/eV per cell.